[1]
The following is a PBE calculation of an optimized crystal structure of Co3Se, from Alexandria via LeMat-Bulk.

Cell lengths 3.573, 3.573, 3.573 Å; angles 90.00, 90.00, 90.00 degrees
Each line ends with the local moment (μB).
Sites, in units of the cell vectors:
Co (0.500, 0.500, 0.000)  0.15
Co (0.000, 0.500, 0.500)  0.15
Co (0.500, 0.000, 0.500)  0.15
Se (0.000, 0.000, 0.000)  -0.01

Computed properties:
Calculated density (g/cm³): 9.3
N(E_F) (states/eV/atom): 0.9921
Spin magnetization (μB/f.u.): 0.44
Crystal system: cubic
Distance to the lowest polymorph of the same formula (eV per atom): 0.0165
Electronic total energy (eV per atom): -5.942

[2]
The following is a PBE calculation of an optimized crystal structure of Co7Se, from Alexandria via LeMat-Bulk.

Cell lengths 5.052, 5.052, 5.052 Å; angles 60.00, 60.00, 60.00 degrees
Each line ends with the local moment (μB).
Sites, in units of the cell vectors:
Co (0.500, 0.500, 0.500)  1.61
Co (0.500, 0.000, 0.500)  1.49
Co (0.500, 0.500, 0.000)  1.49
Co (0.000, 0.500, 0.000)  1.49
Co (0.000, 0.000, 0.500)  1.49
Co (0.500, 0.000, 0.000)  1.49
Co (0.000, 0.500, 0.500)  1.49
Se (0.000, 0.000, 0.000)  0.01

Computed properties:
Calculated density (g/cm³): 9.0
N(E_F) (states/eV/atom): 1.6135
Spin magnetization (μB/f.u.): 10.38
Crystal system: cubic
Electronic total energy (eV per atom): -6.490